Density functional theory data (PBE-GGA) for a relaxed Tb2PmPrY2 crystal.

Geometry as CIF:
```
data_Tb2PmPrY2
_cell_length_a 6.683
_cell_length_b 17.917
_cell_length_c 3.412
_cell_angle_alpha 90.00
_cell_angle_beta 90.00
_cell_angle_gamma 90.00
_symmetry_space_group_name_H-M 'P n n m'
_symmetry_Int_Tables_number 58
loop_
_symmetry_equiv_pos_as_xyz
'x,y,z'
'-x,-y,-z'
'-x,-y,z'
'x,y,-z'
'x+1/2,-y+1/2,-z+1/2'
'-x+1/2,y+1/2,z+1/2'
'-x+1/2,y+1/2,-z+1/2'
'x+1/2,-y+1/2,z+1/2'
loop_
_atom_site_label
_atom_site_type_symbol
_atom_site_fract_x
_atom_site_fract_y
_atom_site_fract_z
Tb1 Tb 0.230 0.181 0.000
Pm1 Pm 0.000 0.500 0.000
Pr1 Pr 0.000 0.000 0.000
Y1 Y 0.227 0.348 0.500
```

Results
E_tot = -5.003 eV/atom
Energy of formation = 163.8 kJ/mol of formula units